1.
The following is a PBE calculation of a relaxed structure of YTmSbI2, from OQMD.

Properties
* symmetry: P3m1 (156)
* total magnetization: 0.00 μB per cell
* calculated total energy: -4.8703 eV per atom

a = 4.3182 Å, b = 4.3182 Å, c = 11.1489 Å
α = 90.00°, β = 90.00°, γ = 120.00°
Closest atoms and distances in Å follow each position.
Atoms (fractional coordinates):
Tm1 0.6667 0.3333 0.1504  3 Sb 2.98, 3 I 3.14
Sb1 0.0000 0.0000 0.0034  3 Tm 2.98, 3 Y 3.02
Y1 0.3333 0.6667 0.8498  3 Sb 3.02, 3 I 3.17
I1 0.6667 0.3333 0.6742  3 Y 3.17
I2 0.3333 0.6667 0.3221  3 Tm 3.14

2.
The following is a PBE calculation of a relaxed structure of ZrSbI6, from OQMD.

Properties
* symmetry: C2 (5)
* offset from the most stable computed form: 0.0 meV per atom
* total magnetization: 1.00 μB per cell

a = 7.7167 Å, b = 7.7167 Å, c = 7.7378 Å
α = 99.48°, β = 99.48°, γ = 119.68°
Closest atoms and distances in Å follow each position.
Atoms (fractional coordinates):
I1 0.7841 0.7982 0.7656  1 Zr 2.92, 1 Sb 3.05
Sb1 0.1662 0.8338 0.0000  6 I 3.05-3.08
I2 0.9322 0.5603 0.2319  1 Zr 2.91, 1 Sb 3.08
I3 0.0553 0.4122 0.7699  1 Zr 2.93, 1 Sb 3.05
I4 0.2018 0.2159 0.2344  1 Zr 2.92, 1 Sb 3.05
I5 0.5878 0.9447 0.2301  1 Zr 2.93, 1 Sb 3.05
I6 0.4397 0.0678 0.7681  1 Zr 2.91, 1 Sb 3.08
Zr1 0.8328 0.1672 0.0000  6 I 2.91-2.93

3.
The following is a PBE calculation of a relaxed structure of ZrSbI6, from OQMD.

Properties
* symmetry: C2/m (12)
* offset from the most stable computed form: 64.5 meV per atom
* total magnetization: 1.99 μB per cell

a = 11.2770 Å, b = 11.2770 Å, c = 8.1193 Å
α = 104.36°, β = 104.36°, γ = 83.20°
Closest atoms and distances in Å follow each position.
Atoms (fractional coordinates):
Zr1 0.2047 0.2047 0.3815  4 I 2.69-2.73
I1 0.9908 0.2857 0.4759  1 Zr 2.70
I2 0.7747 0.4395 0.9171  1 Sb 2.75
I3 0.4395 0.7747 0.9171  1 Sb 2.75
I4 0.0092 0.7143 0.5241  1 Zr 2.70
I5 0.2253 0.5605 0.0829  1 Sb 2.75
I6 0.1536 0.1536 0.0252  1 Zr 2.73
I7 0.8464 0.8464 0.9748  1 Zr 2.73
I8 0.5605 0.2253 0.0829  1 Sb 2.75
Zr2 0.7953 0.7953 0.6185  4 I 2.69-2.73
I9 0.6268 0.6268 0.4730  1 Zr 2.69
Sb1 0.2160 0.7840 0.0000  2 I 2.75
I10 0.7143 0.0092 0.5241  1 Zr 2.70
I11 0.2857 0.9908 0.4759  1 Zr 2.70
Sb2 0.7840 0.2160 0.0000  2 I 2.75
I12 0.3732 0.3732 0.5270  1 Zr 2.69

4.
The following is a PBE calculation of a relaxed structure of Ta3SeI7, from OQMD.

Properties
* symmetry: P6_3mc (186)
* total magnetization: 0.02 μB per cell
* calculated total energy: -5.0279 eV per atom

a = 7.6356 Å, b = 7.6339 Å, c = 14.3214 Å
α = 90.00°, β = 90.00°, γ = 120.01°
Closest atoms and distances in Å follow each position.
Atoms (fractional coordinates):
I1 0.6667 0.3333 0.1501  3 Ta 3.05
Ta1 0.7403 0.8701 0.7503  1 Se 2.56, 2 I 2.75
Ta2 0.1299 0.2597 0.7503  1 Se 2.56, 2 I 2.75
I2 0.1680 0.8320 0.1195  2 Ta 2.75
I3 0.8320 0.6641 0.6195  2 Ta 2.75
I4 0.4979 0.5021 0.3582  2 Ta 2.93
I5 0.1680 0.3359 0.1195  2 Ta 2.75
I6 0.5021 0.0042 0.8582  2 Ta 2.93
I7 0.3359 0.1679 0.6195  2 Ta 2.75
Se1 0.0000 0.0000 0.3825  3 Ta 2.56
Ta3 0.2597 0.1299 0.2503  1 Se 2.56, 2 I 2.75
Ta4 0.8701 0.7403 0.2503  1 Se 2.56, 2 I 2.75
Ta5 0.8701 0.1299 0.2503  1 Se 2.56, 2 I 2.75
I8 0.4979 0.9958 0.3582  2 Ta 2.93
Ta6 0.1299 0.8701 0.7503  1 Se 2.56, 2 I 2.75
I9 0.6641 0.8320 0.1195  2 Ta 2.75
I10 0.5021 0.4979 0.8582  2 Ta 2.93
Se2 0.0000 0.0000 0.8825  3 Ta 2.56
I11 0.0042 0.5021 0.3582  2 Ta 2.93
I12 0.3333 0.6667 0.6501  3 Ta 3.05
I13 0.9958 0.4979 0.8582  2 Ta 2.93
I14 0.8320 0.1679 0.6195  2 Ta 2.75

5.
The following is a PBE calculation of a relaxed structure of Ta2Se4I, from OQMD.

Properties
* symmetry: P4/mmm (123)
* total magnetization: 0.51 μB per cell
* calculated total energy: -5.4130 eV per atom

a = 4.6787 Å, b = 4.6787 Å, c = 6.7339 Å
α = 90.00°, β = 90.00°, γ = 90.00°
Closest atoms and distances in Å follow each position.
Atoms (fractional coordinates):
Se1 0.0000 0.5000 0.2801  4 Ta 2.77-3.00, 1 Se 2.96, 2 I 3.00
Ta1 0.0000 0.0000 0.0000  8 Se 3.00, 4 I 3.31
Ta2 0.5000 0.5000 0.5000  8 Se 2.77
Se2 0.5000 0.0000 0.7199  4 Ta 2.77-3.00, 1 Se 2.96, 2 I 3.00
Se3 0.0000 0.5000 0.7199  4 Ta 2.77-3.00, 1 Se 2.96, 2 I 3.00
I1 0.5000 0.5000 0.0000  8 Se 3.00, 4 Ta 3.31
Se4 0.5000 0.0000 0.2801  4 Ta 2.77-3.00, 1 Se 2.96, 2 I 3.00

6.
The following is a PBE calculation of a relaxed structure of TbSe2I2, from OQMD.

Properties
* symmetry: C2/m (12)
* total magnetization: 0.01 μB per cell
* calculated total energy: -3.9797 eV per atom

a = 8.1113 Å, b = 8.1113 Å, c = 8.0503 Å
α = 99.27°, β = 99.27°, γ = 121.82°
Closest atoms and distances in Å follow each position.
Atoms (fractional coordinates):
I1 0.5696 0.9961 0.2540  2 Tb 3.03-3.15
Se1 0.9108 0.9108 0.7493  1 Se 2.28
I2 0.9961 0.5696 0.2540  2 Tb 3.03-3.15
Se2 0.2544 0.2544 0.0656  1 Se 2.28
I3 0.0039 0.4304 0.7460  2 Tb 3.03-3.15
I4 0.4304 0.0039 0.7460  2 Tb 3.03-3.15
Se3 0.7456 0.7456 0.9344  1 Se 2.28
Tb1 0.1641 0.8359 0.0000  4 Se 3.00-3.01, 4 I 3.03-3.15
Se4 0.0892 0.0892 0.2507  1 Se 2.28
Tb2 0.8359 0.1641 0.0000  4 Se 3.00-3.01, 4 I 3.03-3.15

7.
The following is a PBE calculation of a relaxed structure of Te2WSe2I, from OQMD.

Properties
* symmetry: P-1 (2)
* offset from the most stable computed form: 44.1 meV per atom
* total magnetization: 0.00 μB per cell

a = 6.6974 Å, b = 8.4807 Å, c = 8.5067 Å
α = 116.78°, β = 98.77°, γ = 104.04°
Closest atoms and distances in Å follow each position.
Atoms (fractional coordinates):
Se1 0.9643 0.8168 0.1105  1 Se 2.52, 2 W 2.57
Te1 0.6215 0.3067 0.1417  1 Te 2.73, 2 W 2.89-2.90
Se2 0.0357 0.1832 0.8895  1 Se 2.52, 2 W 2.57
W1 0.2146 0.9998 0.0002  4 Se 2.57-2.58, 2 Te 2.87, 1 W 2.87
Te2 0.4701 0.0470 0.7723  1 Te 2.73, 2 W 2.87
I1 0.7473 0.4235 0.6100  1 Se 2.99
I2 0.2527 0.5765 0.3900  1 Se 2.99
Se3 0.1097 0.1728 0.2946  1 Se 2.52, 2 W 2.58
W2 0.7854 0.0002 0.9998  4 Se 2.57-2.58, 2 Te 2.87, 1 W 2.87
Te3 0.5299 0.9530 0.2277  1 Te 2.73, 2 W 2.87
Te4 0.3785 0.6933 0.8583  1 Te 2.73, 2 W 2.89-2.90
Se4 0.8903 0.8272 0.7054  1 Se 2.52, 2 W 2.58

8.
The following is a PBE calculation of a relaxed structure of TeWSe3I, from OQMD.

Properties
* symmetry: P-1 (2)
* offset from the most stable computed form: 26.6 meV per atom
* total magnetization: 0.00 μB per cell

a = 6.5388 Å, b = 7.9652 Å, c = 8.3978 Å
α = 102.85°, β = 112.78°, γ = 97.32°
Closest atoms and distances in Å follow each position.
Atoms (fractional coordinates):
Te1 0.8533 0.7133 0.7928  1 Se 2.72, 2 W 2.77, 1 I 3.02
Se1 0.5696 0.2570 0.0582  1 Se 2.36
Se2 0.9469 0.1750 0.8390  2 W 2.57, 1 Te 2.72
I1 0.3339 0.2637 0.5891  1 Te 3.02, 1 Se 3.32
Se3 0.6492 0.0942 0.2699  1 Se 2.36
Te2 0.1467 0.2867 0.2072  1 Se 2.72, 2 W 2.77, 1 I 3.02
I2 0.6661 0.7363 0.4109  1 Te 3.02, 1 Se 3.32
Se4 0.0530 0.8250 0.1610  2 W 2.57, 1 Te 2.72
Se5 0.4304 0.7430 0.9418  1 Se 2.36
W1 0.7776 0.9995 0.9997  6 Se 2.57-2.70, 2 Te 2.77
Se6 0.3508 0.9058 0.7301  1 Se 2.36
W2 0.2224 0.0005 0.0003  6 Se 2.57-2.70, 2 Te 2.77

9.
The following is a PBE calculation of a relaxed structure of TeWSe3I, from OQMD.

Properties
* symmetry: P-1 (2)
* offset from the most stable computed form: 0.0 meV per atom
* total magnetization: 0.00 μB per cell

a = 6.5505 Å, b = 8.1584 Å, c = 8.4992 Å
α = 115.78°, β = 103.89°, γ = 98.71°
Closest atoms and distances in Å follow each position.
Atoms (fractional coordinates):
Se1 0.9659 0.1199 0.8196  1 Se 2.49, 2 W 2.57
I1 0.7467 0.6025 0.4285  1 Se 3.04, 1 Te 3.31
Se2 0.1087 0.3030 0.1660  1 Se 2.49, 2 W 2.57
Se3 0.8913 0.6970 0.8340  1 Se 2.49, 2 W 2.57
W1 0.7814 0.9999 0.0002  6 Se 2.57-2.67, 2 Te 2.86, 1 W 2.86
Se4 0.4774 0.7925 0.0538  1 Te 2.57, 2 W 2.67
Se5 0.5226 0.2075 0.9462  1 Te 2.57, 2 W 2.67
Se6 0.0341 0.8801 0.1804  1 Se 2.49, 2 W 2.57
Te1 0.3780 0.8545 0.6955  1 Se 2.57, 2 W 2.86
W2 0.2186 0.0001 0.9998  6 Se 2.57-2.67, 2 Te 2.86, 1 W 2.86
Te2 0.6220 0.1455 0.3045  1 Se 2.57, 2 W 2.86
I2 0.2533 0.3975 0.5715  1 Se 3.04, 1 Te 3.31

10.
The following is a PBE calculation of a relaxed structure of TeWSe3I, from OQMD.

Properties
* symmetry: P-1 (2)
* offset from the most stable computed form: 5.4 meV per atom
* total magnetization: 0.00 μB per cell

a = 6.4976 Å, b = 8.3032 Å, c = 8.3334 Å
α = 115.06°, β = 104.30°, γ = 98.21°
Closest atoms and distances in Å follow each position.
Atoms (fractional coordinates):
Se1 0.6074 0.1037 0.2810  1 Se 2.35
I1 0.7383 0.6028 0.4047  1 Te 3.02
Te1 0.8807 0.6782 0.8091  1 Se 2.73, 2 W 2.76, 1 I 3.02
W1 0.2251 0.0004 0.9997  6 Se 2.58-2.69, 2 Te 2.76
Se2 0.3926 0.8963 0.7190  1 Se 2.35
I2 0.2617 0.3972 0.5953  1 Te 3.02
W2 0.7749 0.9996 0.0003  6 Se 2.58-2.69, 2 Te 2.76
Se3 0.4769 0.7888 0.0511  1 Se 2.35
Se4 0.0415 0.8913 0.1918  2 W 2.58, 1 Te 2.73
Te2 0.1193 0.3218 0.1909  1 Se 2.73, 2 W 2.76, 1 I 3.02
Se5 0.9585 0.1087 0.8082  2 W 2.58, 1 Te 2.73
Se6 0.5231 0.2112 0.9489  1 Se 2.35

11.
The following is a PBE calculation of a relaxed structure of Te2WSe2I, from OQMD.

Properties
* symmetry: P-1 (2)
* offset from the most stable computed form: 16.2 meV per atom
* total magnetization: 0.00 μB per cell

a = 6.6393 Å, b = 7.9038 Å, c = 8.7781 Å
α = 102.89°, β = 111.96°, γ = 98.15°
Closest atoms and distances in Å follow each position.
Atoms (fractional coordinates):
Se1 0.4275 0.7436 0.9419  1 Te 2.56, 2 W 2.67
W1 0.7800 0.9997 0.9997  4 Se 2.58-2.67, 4 Te 2.77-2.88
Te1 0.8518 0.7133 0.7967  1 Se 2.65, 2 W 2.77
Se2 0.9639 0.1919 0.8616  2 W 2.58, 1 Te 2.65
Te2 0.6555 0.0875 0.2837  1 Se 2.56
Te3 0.3445 0.9125 0.7163  1 Se 2.56
Se3 0.5725 0.2564 0.0581  1 Te 2.56, 2 W 2.67
I1 0.3289 0.2598 0.5767  2 Te 3.11-3.25
Se4 0.0361 0.8081 0.1384  2 W 2.58, 1 Te 2.65
W2 0.2200 0.0003 0.0003  4 Se 2.58-2.67, 4 Te 2.77-2.88
Te4 0.1482 0.2867 0.2033  1 Se 2.65, 2 W 2.77
I2 0.6711 0.7402 0.4233  2 Te 3.11-3.25

12.
The following is a PBE calculation of a relaxed structure of Te2WSe2I, from OQMD.

Properties
* symmetry: P-1 (2)
* offset from the most stable computed form: 0.0 meV per atom
* total magnetization: 0.00 μB per cell

a = 6.6140 Å, b = 8.2504 Å, c = 8.6170 Å
α = 114.46°, β = 103.86°, γ = 98.65°
Closest atoms and distances in Å follow each position.
Atoms (fractional coordinates):
Te1 0.8847 0.6778 0.8241  1 Se 2.68, 2 W 2.75
Te2 0.6174 0.1342 0.2964  1 Se 2.54
Se1 0.5212 0.2048 0.9441  1 Te 2.54, 2 W 2.68
Se2 0.4788 0.7952 0.0559  1 Te 2.54, 2 W 2.68
Se3 0.0372 0.8882 0.1852  2 W 2.58, 1 Te 2.68
Te3 0.3826 0.8658 0.7036  1 Se 2.54
I1 0.7442 0.5969 0.4238  2 Te 3.09-3.41
Te4 0.1153 0.3222 0.1759  1 Se 2.68, 2 W 2.75
I2 0.2558 0.4031 0.5762  2 Te 3.09-3.41
W1 0.2201 0.0000 0.9998  4 Se 2.58-2.68, 4 Te 2.75-2.87
Se4 0.9628 0.1118 0.8148  2 W 2.58, 1 Te 2.68
W2 0.7799 0.0000 0.0002  4 Se 2.58-2.68, 4 Te 2.75-2.87